(1)
First-principles (GGA-PBE) data for a relaxed K2PAuS4 crystal, as listed in Alexandria.

Unit cell a=13.2222 b=12.1027 c=6.9909 alpha=83.03 beta=65.31 gamma=31.66
With the nearest neighbours (Å) after each atom.
Fractional coordinates of all 16 atoms:
K 0.0594 0.0594 0.6906  4 S 3.32-3.42
K 0.3094 0.3094 0.9406  4 S 3.32-3.42
K 0.6906 0.6906 0.0594  4 S 3.32-3.42
K 0.9406 0.9406 0.3094  4 S 3.32-3.42
P 0.3750 0.3750 0.3750  4 S 2.07
P 0.6250 0.6250 0.6250  4 S 2.07
Au 0.1250 0.1250 0.1250  4 S 2.59
Au 0.8750 0.8750 0.8750  4 S 2.59
S 0.0387 0.6120 0.5180  1 P 2.07
S 0.3312 0.5180 0.6120  1 P 2.07
S 0.3880 0.9613 0.6688  1 P 2.07
S 0.4820 0.6688 0.9613  1 P 2.07
S 0.5180 0.3312 0.0387  1 P 2.07
S 0.6120 0.0387 0.3312  1 P 2.07
S 0.6688 0.4820 0.3880  1 P 2.07
S 0.9613 0.3880 0.4820  1 P 2.07

Total moment = 0.00 μB per formula unit
SG = No. 70
E_tot = -64.33 eV for the cell shown
Density = 3.105 g/cm³
Uncorrected formation energy = -0.596 eV/atom

***

(2)
First-principles (GGA-PBE) data for a relaxed KP2Au2S7 crystal, as listed in Alexandria.

Unit cell a=11.2141 b=11.2141 c=11.2141 alpha=32.93 beta=32.93 gamma=32.93
With the nearest neighbours (Å) after each atom.
Fractional coordinates of all 12 atoms:
K 0.0000 0.0000 0.0000  6 S 3.28
P 0.4314 0.4314 0.4314  4 S 2.04-2.18
P 0.5686 0.5686 0.5686  4 S 2.04-2.18
Au 0.2479 0.2479 0.2479  3 S 2.40
Au 0.7521 0.7521 0.7521  3 S 2.40
S 0.1273 0.3743 0.7421  1 P 2.04
S 0.2579 0.6257 0.8727  1 P 2.04
S 0.3743 0.7421 0.1273  1 P 2.04
S 0.5000 0.5000 0.5000  2 P 2.18
S 0.6257 0.8727 0.2579  1 P 2.04
S 0.7422 0.1273 0.3743  1 P 2.04
S 0.8727 0.2579 0.6257  1 P 2.04

Total moment = 0.00 μB per formula unit
SG = No. 155
E_tot = -49.12 eV for the cell shown
Density = 3.221 g/cm³
Uncorrected formation energy = -0.146 eV/atom

***

(3)
First-principles (GGA-PBE) data for a relaxed KPAuS2 crystal, as listed in Alexandria.

Unit cell a=5.7311 b=5.7311 c=6.0867 alpha=90.00 beta=90.00 gamma=90.00
With the nearest neighbours (Å) after each atom.
Fractional coordinates of all 5 atoms:
K 0.0000 0.0000 0.0000  4 S 2.87, 2 P 3.04
P 0.0000 0.0000 0.5000  2 K 3.04
Au 0.5000 0.5000 0.5000  4 P 4.05, 8 S 4.18
S 0.0000 0.5000 0.0000  2 K 2.87
S 0.5000 0.0000 0.0000  2 K 2.87

Total moment = 5.04 μB per formula unit
SG = No. 123
E_tot = -9.79 eV for the cell shown
Density = 2.751 g/cm³
Energy relative to the lowest polymorph listed for this composition = 1395.0 meV/atom
Uncorrected formation energy = 1.650 eV/atom

***

(4)
First-principles (GGA-PBE) data for a relaxed KP2AuS crystal, as listed in Alexandria.

Unit cell a=4.8649 b=4.8649 c=5.3258 alpha=90.00 beta=90.00 gamma=90.00
With the nearest neighbours (Å) after each atom.
Fractional coordinates of all 5 atoms:
K 0.0000 0.0000 0.0000  4 S 3.44, 8 P 3.61
P 0.0000 0.5000 0.5000  2 Au 2.43
P 0.5000 0.0000 0.5000  2 Au 2.43
Au 0.5000 0.5000 0.5000  4 P 2.43, 2 S 2.66
S 0.5000 0.5000 0.0000  2 Au 2.66

Total moment = 1.28 μB per formula unit
SG = No. 123
E_tot = -16.99 eV for the cell shown
Density = 4.349 g/cm³
Energy relative to the lowest polymorph listed for this composition = 0.0 meV/atom
Uncorrected formation energy = 0.466 eV/atom

***

(5)
First-principles (GGA-PBE) data for a relaxed K3P2AuSe8 crystal, as listed in Alexandria.

Unit cell a=7.3323 b=7.3323 c=19.1137 alpha=93.16 beta=93.16 gamma=120.92
With the nearest neighbours (Å) after each atom.
Fractional coordinates of all 28 atoms:
K 0.0691 0.9309 0.5000  8 Se 3.49-3.91, 1 P 3.86
K 0.1549 0.5981 0.7070  6 Se 3.48-3.68, 1 P 3.84
K 0.2488 0.4622 0.3519  7 Se 3.45-3.84
K 0.4622 0.2488 0.8519  7 Se 3.45-3.84
K 0.5981 0.1549 0.2070  6 Se 3.48-3.68, 1 P 3.84
K 0.9309 0.0691 0.0000  8 Se 3.49-3.91, 1 P 3.86
P 0.2529 0.7889 0.9825  4 Se 2.18-2.32
P 0.7889 0.2529 0.4825  4 Se 2.18-2.32
P 0.8786 0.9984 0.7284  4 Se 2.18-2.32
P 0.9984 0.8786 0.2284  4 Se 2.18-2.32
Au 0.5187 0.6222 0.1077  2 Se 2.45
Au 0.6222 0.5187 0.6077  2 Se 2.45
Se 0.0639 0.7426 0.8837  1 P 2.18
Se 0.0759 0.1757 0.1847  1 P 2.18
Se 0.1106 0.6796 0.1656  1 P 2.32, 1 Se 2.39
Se 0.1188 0.4879 0.5216  1 P 2.18
Se 0.1757 0.0759 0.6847  1 P 2.18
Se 0.1975 0.9148 0.3236  1 P 2.18
Se 0.3927 0.5744 0.9830  1 P 2.28, 1 Au 2.45
Se 0.4879 0.1188 0.0216  1 P 2.18
Se 0.5744 0.3927 0.4830  1 P 2.28, 1 Au 2.45
Se 0.6288 0.9597 0.5472  1 P 2.32, 1 Se 2.39
Se 0.6410 0.6530 0.2321  1 P 2.28, 1 Au 2.45
Se 0.6530 0.6410 0.7321  1 P 2.28, 1 Au 2.45
Se 0.6796 0.1106 0.6656  1 P 2.32, 1 Se 2.39
Se 0.7426 0.0639 0.3837  1 P 2.18
Se 0.9148 0.1975 0.8236  1 P 2.18
Se 0.9597 0.6288 0.0472  1 P 2.32, 1 Se 2.39

Total moment = 0.00 μB per formula unit
SG = No. 9
E_tot = -106.47 eV for the cell shown
Density = 3.821 g/cm³
Uncorrected formation energy = -0.569 eV/atom

***

(6)
First-principles (GGA-PBE) data for a relaxed KPAuSe3 crystal, as listed in Alexandria.

Unit cell a=7.2262 b=7.2262 c=8.2456 alpha=110.71 beta=110.71 gamma=61.69
With the nearest neighbours (Å) after each atom.
Fractional coordinates of all 12 atoms:
K 0.2012 0.2012 0.2492  9 Se 3.46-3.72
K 0.7988 0.7988 0.7508  9 Se 3.46-3.72
P 0.4756 0.4756 0.8506  3 Se 2.16-2.26, 1 P 2.28
P 0.5244 0.5244 0.1494  3 Se 2.16-2.26, 1 P 2.28
Au 0.2478 0.7522 0.5000  2 Se 2.44
Au 0.7522 0.2478 0.5000  2 Se 2.44
Se 0.1780 0.6773 0.1758  1 P 2.26, 1 Au 2.44
Se 0.2856 0.2856 0.7054  1 P 2.16
Se 0.3227 0.8220 0.8242  1 P 2.26, 1 Au 2.44
Se 0.6773 0.1780 0.1758  1 P 2.26, 1 Au 2.44
Se 0.7144 0.7144 0.2946  1 P 2.16
Se 0.8220 0.3227 0.8242  1 P 2.26, 1 Au 2.44

Total moment = 0.00 μB per formula unit
SG = No. 12
E_tot = -46.14 eV for the cell shown
Density = 4.845 g/cm³
Uncorrected formation energy = -0.472 eV/atom

***

(7)
First-principles (GGA-PBE) data for a relaxed KPAu2Se4 crystal, as listed in Alexandria.

Unit cell a=6.8471 b=6.8471 c=6.8471 alpha=123.26 beta=105.25 gamma=100.86
With the nearest neighbours (Å) after each atom.
Fractional coordinates of all 8 atoms:
K 0.0000 0.0000 0.0000  8 Se 3.56-3.69
P 0.5000 0.5000 0.0000  4 Se 2.27
Au 0.3273 0.8273 0.5000  2 Se 2.46
Au 0.6727 0.1727 0.5000  2 Se 2.46
Se 0.1826 0.1612 0.6465  1 P 2.27, 1 Au 2.46
Se 0.4854 0.8388 0.0214  1 P 2.27, 1 Au 2.46
Se 0.5146 0.5360 0.3535  1 P 2.27, 1 Au 2.46
Se 0.8174 0.4640 0.9786  1 P 2.27, 1 Au 2.46

Total moment = 0.00 μB per formula unit
SG = No. 23
E_tot = -29.87 eV for the cell shown
Density = 5.489 g/cm³
Uncorrected formation energy = -0.359 eV/atom

***

(8)
First-principles (GGA-PBE) data for a relaxed KV2PAu crystal, as listed in Alexandria.

Unit cell a=4.6433 b=4.6433 c=5.8074 alpha=90.00 beta=90.00 gamma=90.00
With the nearest neighbours (Å) after each atom.
Fractional coordinates of all 5 atoms:
K 0.0000 0.0000 0.0000  2 P 2.90
V 0.0000 0.5000 0.5000  2 P 2.32
V 0.5000 0.0000 0.5000  2 P 2.32
P 0.0000 0.0000 0.5000  4 V 2.32
Au 0.5000 0.5000 0.0000  4 K 3.28

Total moment = 6.21 μB per formula unit
Energy of formation = 11.0 kcal/mol of atoms
SG = No. 123
E_tot = -25.64 eV for the cell shown
Density = 4.893 g/cm³

***

(9)
First-principles (GGA-PBE) data for a relaxed KZnPAu crystal, as listed in Alexandria.

Unit cell a=3.1189 b=6.0721 c=6.0721 alpha=50.25 beta=90.00 gamma=90.00
With the nearest neighbours (Å) after each atom.
Fractional coordinates of all 4 atoms:
K 0.0000 0.0000 0.0000  4 P 3.05, 2 K 3.12, 1 Zn 3.20
Zn 0.0000 0.2911 0.2911  2 P 2.41
P 0.5000 0.4586 0.4586  2 Zn 2.41, 1 Au 2.53
Au 0.5000 0.6885 0.6885  1 P 2.53

Total moment = 0.00 μB per formula unit
Energy of formation = 2.2 kcal/mol of atoms
SG = No. 38
E_tot = -10.67 eV for the cell shown
Density = 6.244 g/cm³

***

(10)
First-principles (GGA-PBE) data for a relaxed KPaAu2 crystal, as listed in Alexandria.

Unit cell a=8.9977 b=8.9977 c=8.9977 alpha=25.96 beta=25.96 gamma=25.96
With the nearest neighbours (Å) after each atom.
Fractional coordinates of all 4 atoms:
K 0.0000 0.0000 0.0000  6 Au 3.51
Pa 0.5000 0.5000 0.5000  6 Au 2.90
Au 0.2327 0.2327 0.2327  3 Pa 2.90
Au 0.7673 0.7673 0.7673  3 Pa 2.90

Total moment = 0.00 μB per formula unit
Energy of formation = -2.1 kcal/mol of atoms
SG = No. 166
E_tot = -17.51 eV for the cell shown
Density = 8.970 g/cm³
Energy relative to the lowest polymorph listed for this composition = 95.4 meV/atom

***

(11)
First-principles (GGA-PBE) data for a relaxed KPaAu2 crystal, as listed in Alexandria.

Unit cell a=3.6484 b=3.6484 c=8.3253 alpha=90.00 beta=90.00 gamma=90.00
With the nearest neighbours (Å) after each atom.
Fractional coordinates of all 4 atoms:
K 0.0000 0.0000 0.0000  8 Au 3.61, 4 K 3.65
Pa 0.0000 0.0000 0.5000  8 Au 3.06
Au 0.5000 0.5000 0.3033  4 Pa 3.06, 1 Au 3.28
Au 0.5000 0.5000 0.6967  4 Pa 3.06, 1 Au 3.28

Total moment = 1.49 μB per formula unit
Energy of formation = -4.3 kcal/mol of atoms
SG = No. 123
E_tot = -17.89 eV for the cell shown
Density = 9.951 g/cm³
Energy relative to the lowest polymorph listed for this composition = 0.0 meV/atom

***

(12)
First-principles (GGA-PBE) data for a relaxed K2PaAuS4 crystal, as listed in Alexandria.

Unit cell a=6.7689 b=6.7689 c=6.7689 alpha=112.84 beta=112.84 gamma=102.92
With the nearest neighbours (Å) after each atom.
Fractional coordinates of all 8 atoms:
K 0.0000 0.0000 0.0000  4 S 3.07
K 0.7500 0.2500 0.5000  8 S 3.42-3.61
Pa 0.2500 0.7500 0.5000  4 S 2.54
Au 0.5000 0.5000 0.0000  4 S 2.54
S 0.2307 0.1371 0.5526  1 Au 2.54, 1 Pa 2.54
S 0.3219 0.7693 0.9064  1 Au 2.54, 1 Pa 2.54
S 0.5845 0.6781 0.4474  1 Au 2.54, 1 Pa 2.54
S 0.8629 0.4155 0.0936  1 Au 2.54, 1 Pa 2.54

Total moment = 0.00 μB per formula unit
SG = No. 82
E_tot = -39.46 eV for the cell shown
Density = 4.456 g/cm³
Uncorrected formation energy = -0.998 eV/atom